Density functional theory data (PBE with a Hubbard U) for a relaxed BaMn2WO crystal.

Total moment, μB per formula unit: 7.99
VASP energy, eV per atom: -5.370

Geometry as extended XYZ:
```
5
Lattice="5.534 0.000 0.000 0.000 5.534 0.000 0.000 0.000 3.943" Properties=species:S:1:pos:R:3 pbc="T T T"
Ba 0.000 0.000 0.000
Mn 0.000 2.767 1.971
Mn 2.767 0.000 1.971
W 2.767 2.767 0.000
O 2.767 2.767 1.971
```